VASP calculation (PBE-GGA) on a relaxed Sb2OsClO crystal.

Properties
For the uncorrected formation energy, the calculation gives 1.728 eV per atom. The magnetization comes out at 0.6 Bohr magnetons per cell. As for the space group: No. 123.

Cell: 5.3366 5.3366 4.1972 Å, 90.00 90.00 90.00°
Closest atoms and distances in Å follow each position.
Positions (direct):
Sb1 0.0000 0.5000 0.0000  2 Cl 2.67
Sb2 0.5000 0.0000 0.0000  2 Cl 2.67
Os1 0.0000 0.0000 0.5000  2 Cl 2.10
Cl1 0.0000 0.0000 0.0000  2 Os 2.10
O1 0.5000 0.5000 0.5000  8 Sb 3.39, 4 Os 3.77